1.
LuFeTcPb PBE-GGA relaxed; calculated density = 11.77 g cm⁻³; uncorrected energy = -25.30 eV per cell; energy above the most stable polymorph in this dataset = 118 meV per atom; space group = F-43m, No. 216; spin magnetization = 4.0 μB per formula unit
1.0
0.000 3.357 3.357
3.357 0.000 3.357
3.357 3.357 0.000
Lu Fe Tc Pb
1 1 1 1
Direct
0.000 0.000 0.000
0.500 0.500 0.500
0.750 0.750 0.750
0.250 0.250 0.250

***

2.
LuFePbW PBE-GGA relaxed; calculated density = 13.66 g cm⁻³; uncorrected energy = -26.63 eV per cell; space group = F-43m, No. 216; spin magnetization = 3.1 μB per formula unit
1.0
0.000 3.356 3.356
3.356 0.000 3.356
3.356 3.356 0.000
Lu Fe Pb W
1 1 1 1
Direct
0.000 0.000 0.000
0.750 0.750 0.750
0.500 0.500 0.500
0.250 0.250 0.250

***

3.
YLuFePb PBE-GGA relaxed; calculated density = 10.31 g cm⁻³; uncorrected energy = -22.23 eV per cell; space group = F-43m, No. 216; spin magnetization = 0.0 μB per formula unit
1.0
0.000 3.488 3.488
3.488 0.000 3.488
3.488 3.488 0.000
Y Lu Fe Pb
1 1 1 1
Direct
0.000 0.000 0.000
0.250 0.250 0.250
0.750 0.750 0.750
0.500 0.500 0.500

***

4.
LuZrFePb PBE-GGA relaxed; calculated density = 10.68 g cm⁻³; uncorrected energy = -24.03 eV per cell; energy above the most stable polymorph in this dataset = 0 meV per atom; space group = F-43m, No. 216; spin magnetization = 0.9 μB per formula unit
1.0
0.000 3.453 3.453
3.453 0.000 3.453
3.453 3.453 0.000
Lu Zr Fe Pb
1 1 1 1
Direct
0.000 0.000 0.000
0.750 0.750 0.750
0.500 0.500 0.500
0.250 0.250 0.250

***

5.
LuFe2Pd PBE-GGA relaxed; calculated density = 10.43 g cm⁻³; uncorrected energy = -26.81 eV per cell; space group = F-43m, No. 216; spin magnetization = 4.8 μB per formula unit; energy of formation = -0.122 eV per atom
1.0
0.000 3.151 3.151
3.151 0.000 3.151
3.151 3.151 0.000
Lu Fe Pd
1 2 1
Direct
0.000 0.000 0.000
0.250 0.250 0.250
0.500 0.500 0.500
0.750 0.750 0.750

***

6.
LuFePd PBE-GGA relaxed; calculated density = 8.98 g cm⁻³; uncorrected energy = -18.21 eV per cell; space group = F-43m, No. 216; spin magnetization = 2.9 μB per formula unit; energy of formation = -0.069 eV per atom
1.0
0.000 3.147 3.147
3.147 0.000 3.147
3.147 3.147 0.000
Lu Fe Pd
1 1 1
Direct
0.000 0.000 0.000
0.500 0.500 0.500
0.750 0.750 0.750